Record 1
VASP calculation (GGA-PBE) on Ta2AlC after structural relaxation.

## Properties
E_tot in Ry per atom: -0.7124

Cell lengths 3.106, 3.106, 13.936 Å; angles 90.00, 90.00, 120.00 degrees
Element x y z (fractional)
Al (0.333, 0.667, 0.750)
C (0.000, 0.000, 0.500)
Ta (0.333, 0.667, 0.411)
C (0.000, 0.000, 0.000)
Ta (0.667, 0.333, 0.911)
Ta (0.667, 0.333, 0.589)
Ta (0.333, 0.667, 0.089)
Al (0.667, 0.333, 0.250)

Record 2
VASP calculation (GGA-PBE) on Be3GaSn after structural relaxation.

## Properties
Energy above the lowest structure with this stoichiometry in meV per atom: 379
E_tot in Ry per atom: -0.1810

Cell lengths 4.638, 4.638, 4.638 Å; angles 90.00, 90.00, 90.00 degrees
Element x y z (fractional)
Sn (0.000, 0.000, 0.000)
Be (0.000, 0.000, 0.500)
Ga (0.500, 0.500, 0.500)
Be (0.500, 0.000, 0.000)
Be (0.000, 0.500, 0.000)

Record 3
VASP calculation (GGA-PBE) on RbHfCu2 after structural relaxation.

## Properties
Energy above the lowest structure with this stoichiometry in meV per atom: 0
E_tot in Ry per atom: -0.2826

Cell lengths 7.697, 7.697, 6.569 Å; angles 54.13, 54.13, 90.00 degrees
Element x y z (fractional)
Rb (0.500, 0.500, 0.000)
Cu (0.875, 0.938, 0.750)
Cu (0.688, 0.125, 0.250)
Rb (0.250, 0.750, 0.500)
Cu (0.062, 0.625, 0.250)
Hf (0.000, 0.000, 0.000)
Cu (0.375, 0.312, 0.750)
Hf (0.750, 0.250, 0.500)

| no. | E_form (eV per atom) | total magnetization (μB per cell) |
| --- | --- | --- |
| 1 | -0.52 | 0.000 |
| 2 | 1.18 | 0.000 |
| 3 | 0.93 | 0.000 |